Below is a geometry-optimized Ba2Au2Se structure, with properties calculated at the PBE level.

Cell and atoms, written as extended XYZ:
```
10
Lattice="8.640 0.000 0.000 0.000 8.640 0.000 0.000 0.000 4.266" Properties=species:S:1:pos:R:3 pbc="T T T"
Ba 1.616 2.704 0.000
Ba 2.704 7.024 0.000
Ba 5.936 1.616 0.000
Ba 7.024 5.936 0.000
Au 0.983 5.303 2.133
Au 3.337 0.983 2.133
Au 5.303 7.657 2.133
Au 7.657 3.337 2.133
Se 0.000 0.000 2.133
Se 4.320 4.320 2.133
```

Values from the calculation:
**Symmetry**: P4/mbm, No. 127
**Crystal system**: tetragonal
**Formation energy (no corrections)**: -89 kJ/mol of atoms

---

Below is a geometry-optimized Cs4Ac3ScS8 structure, with properties calculated at the PBE level.

Cell and atoms, written as extended XYZ:
```
16
Lattice="4.348 2.510 8.105 -4.348 2.510 8.105 0.000 -5.021 8.105" Properties=species:S:1:pos:R:3 pbc="T T T"
Cs 0.000 0.000 0.000
Cs -2.174 -1.255 8.105
Cs -2.174 1.255 16.209
Cs 0.000 2.510 8.105
Ac -4.348 0.000 12.157
Ac -2.174 1.255 4.052
Ac 2.174 1.255 4.052
Sc 0.000 0.000 12.157
S 0.000 0.000 5.648
S -1.997 -1.153 13.640
S 0.000 -2.306 10.673
S -1.997 1.153 10.673
S 1.997 -1.153 13.640
S 0.000 2.306 13.640
S 1.997 1.153 10.673
S 0.000 0.000 18.666
```

Values from the calculation:
**Symmetry**: R-3m, No. 166
**Crystal system**: trigonal
**Formation energy (no corrections)**: -172 kJ/mol of atoms

---

Below is a geometry-optimized Pm3Pr7Er2 structure, with properties calculated at the PBE level.

Cell and atoms, written as extended XYZ:
```
12
Lattice="5.990 0.000 0.000 0.000 3.639 0.000 -1.141 0.000 19.328" Properties=species:S:1:pos:R:3 pbc="T T T"
Pm 0.000 0.000 0.000
Pm 0.965 1.820 12.253
Pm 3.884 1.820 7.075
Pr 0.913 1.820 2.830
Pr 0.926 0.000 8.987
Pr 0.969 0.000 15.784
Pr 2.995 1.820 0.000
Pr 3.880 0.000 3.544
Pr 3.923 0.000 10.341
Pr 3.936 1.820 16.498
Er 0.913 0.000 5.738
Er 3.936 0.000 13.591
```

Values from the calculation:
**Symmetry**: P2/m, No. 10
**ΔH_f (0 K)**: 0.09 eV/atom
**Crystal system**: monoclinic
**E above lowest polymorph**: 17 meV/atom

---

Below is a geometry-optimized ReAgAs2 structure, with properties calculated at the PBE level.

Cell and atoms, written as extended XYZ:
```
4
Lattice="1.486 0.858 10.066 -1.486 0.858 10.066 0.000 -1.716 10.066" Properties=species:S:1:pos:R:3 pbc="T T T"
Re 0.000 0.000 0.000
Ag 0.000 0.000 22.493
As 0.000 0.000 8.224
As 0.000 0.000 14.655
```

Values from the calculation:
**Symmetry**: R3m, No. 160
**ΔH_f (0 K)**: 0.37 eV/atom
**Crystal system**: trigonal
**E above lowest polymorph**: 222 meV/atom

---

Below is a geometry-optimized Sm3Ho2Sc2 structure, with properties calculated at the PBE level.

Cell and atoms, written as extended XYZ:
```
7
Lattice="8.520 -1.714 0.000 8.520 1.714 0.000 -3.981 0.000 7.321" Properties=species:S:1:pos:R:3 pbc="T T T"
Sm 0.000 0.000 0.000
Sm 2.430 0.000 2.208
Sm 10.629 0.000 5.113
Ho -0.862 0.000 5.943
Ho 13.921 0.000 1.379
Sc 5.083 0.000 4.315
Sc 7.976 0.000 3.006
```

Values from the calculation:
**Symmetry**: C2/m, No. 12
**ΔH_f (0 K)**: 0.13 eV/atom
**Crystal system**: monoclinic
**E above lowest polymorph**: 87 meV/atom

---

Below is a geometry-optimized AlWSeN2 structure, with properties calculated at the PBE level.

Cell and atoms, written as extended XYZ:
```
5
Lattice="3.773 0.000 0.000 0.000 3.773 0.000 0.000 0.000 4.913" Properties=species:S:1:pos:R:3 pbc="T T T"
Al 0.000 0.000 0.000
W 1.886 1.886 2.456
Se 0.000 0.000 2.456
N 0.000 1.886 0.000
N 1.886 0.000 0.000
```

Values from the calculation:
**Symmetry**: P4/mmm, No. 123
**Crystal system**: tetragonal
**Formation energy (no corrections)**: 110 kJ/mol of atoms
**E above lowest polymorph**: 855 meV/atom

---

Below is a geometry-optimized PmTm8Mg6 structure, with properties calculated at the PBE level.

Cell and atoms, written as extended XYZ:
```
15
Lattice="4.524 2.612 6.382 -4.524 2.612 6.382 0.000 -5.224 6.382" Properties=species:S:1:pos:R:3 pbc="T T T"
Pm 0.000 0.000 0.000
Tm -1.503 -2.602 8.626
Tm -3.005 0.001 10.520
Tm 0.000 0.000 6.544
Tm -1.502 2.603 8.626
Tm 1.502 -2.603 10.520
Tm 0.000 0.000 12.602
Tm 3.005 -0.001 8.626
Tm 1.503 2.602 10.520
Mg -3.029 -0.043 7.311
Mg -1.478 -2.645 11.835
Mg 1.551 -2.602 7.311
Mg -1.551 2.602 11.835
Mg 1.478 2.645 7.311
Mg 3.029 0.043 11.835
```

Values from the calculation:
**Symmetry**: R-3, No. 148
**ΔH_f (0 K)**: 0.22 eV/atom
**Crystal system**: trigonal

---

Below is a geometry-optimized LaReHO6 structure, with properties calculated at the PBE level.

Cell and atoms, written as extended XYZ:
```
9
Lattice="4.449 0.000 0.000 -2.156 4.595 0.000 -0.402 -0.511 5.118" Properties=species:S:1:pos:R:3 pbc="T T T"
La 0.000 0.000 0.000
Re 1.757 1.383 2.717
H -0.384 3.369 3.114
O 0.057 1.322 2.126
O -0.334 4.124 3.735
O 0.794 1.756 4.434
O 2.257 0.287 1.358
O 2.187 2.990 2.089
O 2.913 1.721 4.302
```

Values from the calculation:
**Symmetry**: P1, No. 1
**VASP energy**: -7.43 eV per atom
**Crystal system**: triclinic

---

Below is a geometry-optimized InReBr2 structure, with properties calculated at the PBE level.

Cell and atoms, written as extended XYZ:
```
8
Lattice="-4.390 4.390 2.759 4.390 -4.390 2.759 4.390 4.390 -2.759" Properties=species:S:1:pos:R:3 pbc="T T T"
In 0.000 0.000 0.000
In 0.000 4.390 1.379
Re 4.390 0.000 1.379
Re 0.000 0.000 2.759
Br 2.195 3.321 -0.690
Br 5.459 2.195 0.690
Br 2.195 1.069 2.069
Br -1.069 2.195 3.448
```

Values from the calculation:
**Symmetry**: I-42d, No. 122
**Crystal system**: tetragonal
**Formation energy (no corrections)**: 43 kJ/mol of atoms
**E above lowest polymorph**: 278 meV/atom

---

Below is a geometry-optimized Pm3Zn2GePd9 structure, with properties calculated at the PBE level.

Cell and atoms, written as extended XYZ:
```
15
Lattice="5.697 0.000 0.000 -2.849 4.934 0.000 0.000 0.000 11.283" Properties=species:S:1:pos:R:3 pbc="T T T"
Pm 0.000 0.000 0.000
Pm 0.000 3.289 8.445
Pm 2.849 1.645 2.838
Zn 0.000 3.289 1.921
Zn 2.849 1.645 9.362
Ge 0.000 0.000 5.642
Pd -1.424 2.467 0.000
Pd 0.000 1.677 3.879
Pd -1.397 4.096 3.879
Pd 1.452 0.838 7.404
Pd 2.849 0.000 0.000
Pd 1.424 2.467 0.000
Pd 1.397 4.096 3.879
Pd 4.245 0.838 7.404
Pd 2.849 3.257 7.404
```

Values from the calculation:
**Symmetry**: P-3m1, No. 164
**ΔH_f (0 K)**: -0.55 eV/atom
**Crystal system**: trigonal

---

Below is a geometry-optimized Cs2ScPa2Te6 structure, with properties calculated at the PBE level.

Cell and atoms, written as extended XYZ:
```
11
Lattice="3.770 -6.511 0.000 3.770 6.511 0.000 -2.587 0.000 9.289" Properties=species:S:1:pos:R:3 pbc="T T T"
Cs 3.770 4.309 0.000
Cs 3.770 -4.309 0.000
Sc -1.294 0.000 4.644
Pa 2.476 2.186 4.644
Pa 2.476 -2.186 4.644
Te -0.065 2.081 6.409
Te 1.153 0.000 2.897
Te -0.065 -2.081 6.409
Te 5.018 2.081 2.880
Te 3.800 0.000 6.392
Te 5.018 -2.081 2.880
```

Values from the calculation:
**Symmetry**: C2/m, No. 12
**Crystal system**: monoclinic
**Formation energy (no corrections)**: -100 kJ/mol of atoms

---

Below is a geometry-optimized TaInGeSe2 structure, with properties calculated at the PBE level.

Cell and atoms, written as extended XYZ:
```
5
Lattice="5.259 0.000 0.000 0.000 5.259 0.000 0.000 0.000 5.435" Properties=species:S:1:pos:R:3 pbc="T T T"
Ta 0.000 0.000 0.000
In 0.000 0.000 2.717
Ge 2.630 2.630 0.000
Se 0.000 2.630 2.717
Se 2.630 0.000 2.717
```

Values from the calculation:
**Symmetry**: P4/mmm, No. 123
**Crystal system**: tetragonal
**Formation energy (no corrections)**: 133 kJ/mol of atoms

---

Below is a geometry-optimized UI2BrF structure, with properties calculated at the PBE level.

Cell and atoms, written as extended XYZ:
```
10
Lattice="7.863 0.000 0.000 0.000 5.520 0.000 -3.881 0.000 8.586" Properties=species:S:1:pos:R:3 pbc="T T T"
U -0.535 1.380 1.510
U 4.518 4.140 7.077
I -1.825 1.380 8.085
I 1.313 4.140 1.727
I 2.669 1.380 6.860
I 5.807 4.140 0.502
Br -1.024 4.140 5.721
Br 5.007 1.380 2.865
F 0.352 1.380 3.327
F 3.630 4.140 5.259
```

Values from the calculation:
**Symmetry**: P2_1/m, No. 11
**Crystal system**: monoclinic
**Formation energy (no corrections)**: -144 kJ/mol of atoms

---

Below is a geometry-optimized MgTcRh4 structure, with properties calculated at the PBE level.

Cell and atoms, written as extended XYZ:
```
6
Lattice="0.000 3.612 3.612 3.612 0.000 3.612 3.612 3.612 0.000" Properties=species:S:1:pos:R:3 pbc="T T T"
Mg 0.000 0.000 0.000
Tc 1.806 1.806 1.806
Rh 4.516 2.708 2.708
Rh 2.708 4.516 2.708
Rh 2.708 2.708 4.516
Rh 4.516 4.516 4.516
```

Values from the calculation:
**Symmetry**: F-43m, No. 216
**ΔH_f (0 K)**: 0.15 eV/atom
**Crystal system**: cubic

---

Below is a geometry-optimized Pr2YHoSc structure, with properties calculated at the PBE level.

Cell and atoms, written as extended XYZ:
```
10
Lattice="4.105 -5.726 0.000 4.105 5.726 0.000 0.000 0.000 7.231" Properties=species:S:1:pos:R:3 pbc="T T T"
Pr 1.646 0.000 0.000
Pr 1.646 0.000 3.616
Pr 6.565 0.000 0.000
Pr 6.565 0.000 3.616
Y 4.105 2.887 5.423
Y 4.105 -2.887 1.808
Ho 4.105 3.186 1.808
Ho 4.105 -3.186 5.423
Sc 4.105 0.221 1.808
Sc 4.105 -0.221 5.423
```

Values from the calculation:
**Symmetry**: Cmcm, No. 63
**ΔH_f (0 K)**: 0.37 eV/atom
**Crystal system**: orthorhombic

---

Below is a geometry-optimized Fe2PW structure, with properties calculated at the PBE level.

Cell and atoms, written as extended XYZ:
```
4
Lattice="2.862 0.000 0.000 0.000 2.862 0.000 0.000 0.000 5.990" Properties=species:S:1:pos:R:3 pbc="T T T"
Fe 0.000 0.000 0.000
Fe 1.431 1.431 1.554
P 0.000 0.000 2.639
W 1.431 1.431 4.384
```

Values from the calculation:
**Symmetry**: P4mm, No. 99
**ΔH_f (0 K)**: -0.01 eV/atom
**Crystal system**: tetragonal

---

Below is a geometry-optimized Li3La2InCu12 structure, with properties calculated at the PBE level.

Cell and atoms, written as extended XYZ:
```
18
Lattice="3.126 1.805 9.234 -3.126 1.805 9.234 0.000 -3.610 9.234" Properties=species:S:1:pos:R:3 pbc="T T T"
Li -1.563 -0.902 9.234
Li -1.563 0.902 18.468
Li 0.000 1.805 9.234
La 0.000 0.000 3.830
La 0.000 0.000 23.872
In 0.000 0.000 13.851
Cu -1.819 -1.050 11.918
Cu 0.000 -2.225 8.077
Cu -1.927 1.113 8.077
Cu -1.927 -1.113 19.625
Cu 0.000 -2.101 15.784
Cu -1.819 1.050 15.784
Cu 1.819 -1.050 11.918
Cu 0.000 2.101 11.918
Cu 1.927 1.113 8.077
Cu 1.927 -1.113 19.625
Cu 0.000 2.225 19.625
Cu 1.819 1.050 15.784
```

Values from the calculation:
**Symmetry**: R-3m, No. 166
**ΔH_f (0 K)**: 0.09 eV/atom
**Crystal system**: trigonal

---

Below is a geometry-optimized Ac2TlHg structure, with properties calculated at the PBE level.

Cell and atoms, written as extended XYZ:
```
4
Lattice="2.084 1.203 9.903 -2.084 1.203 9.903 0.000 -2.406 9.903" Properties=species:S:1:pos:R:3 pbc="T T T"
Ac 0.000 0.000 0.000
Ac 0.000 0.000 4.839
Tl 0.000 0.000 17.274
Hg 0.000 0.000 22.224
```

Values from the calculation:
**Symmetry**: R3m, No. 160
**ΔH_f (0 K)**: -0.29 eV/atom
**Crystal system**: trigonal

---

Below is a geometry-optimized LaPm4Pd2 structure, with properties calculated at the PBE level.

Cell and atoms, written as extended XYZ:
```
14
Lattice="7.891 0.000 0.000 0.000 6.710 0.000 -3.233 0.000 7.722" Properties=species:S:1:pos:R:3 pbc="T T T"
La 1.059 1.677 0.213
La 3.599 5.032 7.509
Pm -1.087 1.677 3.020
Pm 0.783 5.032 2.713
Pm 0.701 0.058 5.912
Pm 0.701 3.297 5.912
Pm 3.957 3.413 1.810
Pm 3.957 6.652 1.810
Pm 3.875 1.677 5.009
Pm 5.745 5.032 4.701
Pd -1.204 5.032 7.690
Pd 1.710 1.677 3.156
Pd 2.948 5.032 4.565
Pd 5.862 1.677 0.032
```

Values from the calculation:
**Symmetry**: P2_1/m, No. 11
**ΔH_f (0 K)**: -0.38 eV/atom
**Crystal system**: monoclinic

---

Below is a geometry-optimized CdBiBr6 structure, with properties calculated at the PBE level.

Cell and atoms, written as extended XYZ:
```
8
Lattice="3.496 2.019 6.299 -3.496 2.019 6.299 0.000 -4.037 6.299" Properties=species:S:1:pos:R:3 pbc="T T T"
Cd 0.000 0.000 0.000
Bi 0.000 0.000 9.449
Br -1.215 -2.023 7.838
Br -2.360 0.041 11.059
Br -1.145 2.064 7.838
Br 1.145 -2.064 11.059
Br 2.360 -0.041 7.838
Br 1.215 2.023 11.059
```

Values from the calculation:
**Symmetry**: R-3, No. 148
**Crystal system**: trigonal
**Formation energy (no corrections)**: -52 kJ/mol of atoms

---

Computed total magnetic moment (μB/f.u.) in order:
0.000; 0.000; 0.000; 0.254; 0.004; 1.202; 0.000; 0.215; 0.000; 0.000; 3.042; 2.229; 2.000; 2.109; 0.000; 2.640; 0.000; 0.000; 0.000; 0.004
Computed density (g cm⁻³) in order:
7.80; 4.74; 6.92; 9.57; 6.76; 7.55; 6.03; 6.70; 7.20; 8.36; 5.60; 5.81; 5.26; 9.41; 5.67; 11.05; 6.25; 9.57; 7.57; 4.99